VASP calculation (GGA-PBE) on crystalline NaTcAg2F8 at its relaxed geometry.

Calculated values
* crystal system: monoclinic

abc: 4.976 7.146 5.477
angles: 90.00 95.10 90.00
Space group P2/m (No. 10)
Unique sites:
Na 0.000 0.000 0.000
Tc 0.000 0.500 0.000
Ag 0.500 0.245 0.500
F 0.191 0.300 0.846
F 0.274 0.500 0.286
F 0.301 0.000 0.312

VASP calculation (GGA-PBE) on crystalline NaAgTe2F at its relaxed geometry.

Calculated values
* crystal system: tetragonal

abc: 5.395 5.395 5.311
angles: 90.00 90.00 90.00
Space group P4/mmm (No. 123)
Unique sites:
Na 0.000 0.000 0.000
Ag 0.000 0.000 0.500
Te 0.000 0.500 0.000
F 0.500 0.500 0.500

VASP calculation (GGA-PBE) on crystalline Na2TiAgF8 at its relaxed geometry.

Calculated values
* crystal system: triclinic

abc: 5.028 5.042 6.978
angles: 89.89 89.89 87.25
Space group P-1 (No. 2)
Unique sites:
Na 0.001 0.001 0.254
Ti 0.500 0.500 0.500
Ag 0.500 0.500 0.000
F 0.208 0.793 0.000
F 0.230 0.772 0.500
F 0.318 0.321 0.698
F 0.321 0.323 0.300

Number 1: formation energy without anion corrections -1835.6 meV per atom. Number 2: formation energy without anion corrections 401.9 meV per atom. Number 3: formation energy without anion corrections -2660.2 meV per atom.